The following is a DFT calculation (PBE) of a relaxed Mg3BiN crystal.

Output
symmetry = C2/c (15)
ΔE_f (raw) = -36 kJ/mol of atoms

Unit cell a=12.5575 b=8.4559 c=8.4559 alpha=83.95 beta=126.72 gamma=53.28
Fractional positions:
Mg: 0.5691 0.3528 0.2838
Mg: 0.8673 0.3191 0.3060
Mg: 0.4309 0.6472 0.7162
Mg: 0.3673 0.1940 0.1809
Mg: 0.1327 0.6809 0.6940
Mg: 0.9148 0.0542 0.0746
Mg: 0.0691 0.2162 0.1472
Mg: 0.9309 0.7838 0.8528
Mg: 0.5852 0.5746 0.5542
Mg: 0.4148 0.4254 0.4458
Mg: 0.6327 0.8060 0.8191
Mg: 0.0852 0.9458 0.9254
Bi: 0.8543 0.5648 0.6149
Bi: 0.6457 0.1149 0.0648
Bi: 0.1457 0.4352 0.3851
Bi: 0.3543 0.8851 0.9352
N: 0.2500 0.8175 0.3175
N: 0.7500 0.1825 0.6825
N: 0.7500 0.4494 0.9494
N: 0.2500 0.5506 0.0506

The following is a DFT calculation (PBE) of a relaxed Ac2ScSb4Pt3 crystal.

Output
symmetry = P-4m2 (115)
ΔE_f (raw) = -88 kJ/mol of atoms

Unit cell a=4.7100 b=4.7100 c=11.2815 alpha=90.00 beta=90.00 gamma=90.00
Fractional positions:
Sb: 0.0000 0.0000 0.0000
Sb: 0.5000 0.5000 0.0000
Sb: 0.0000 0.5000 0.3596
Sb: 0.5000 0.0000 0.6404
Pt: 0.0000 0.0000 0.5000
Pt: 0.5000 0.0000 0.8785
Pt: 0.0000 0.5000 0.1215
Ac: 0.0000 0.5000 0.7611
Ac: 0.5000 0.0000 0.2389
Sc: 0.5000 0.5000 0.5000

The following is a DFT calculation (PBE) of a relaxed Ta2PIrPd crystal.

Output
energy of formation = 0.98 eV per atom
symmetry = P4/mmm (123)

Unit cell a=4.9486 b=4.2899 c=4.9486 alpha=90.00 beta=90.00 gamma=90.00
Fractional positions:
Ta: 0.0000 0.0000 0.5000
Ta: 0.5000 0.0000 0.0000
Pd: 0.5000 0.5000 0.5000
Ir: 0.0000 0.0000 0.0000
P: 0.0000 0.5000 0.0000

The following is a DFT calculation (PBE) of a relaxed LiSbH3 crystal.

Output
symmetry = P1 (1)

Unit cell a=3.9203 b=3.9037 c=3.9173 alpha=94.98 beta=94.81 gamma=94.99
Fractional positions:
Li: 0.2881 0.7731 0.3057
H: 0.4289 0.9055 0.8609
H: 0.8445 0.9063 0.4451
H: 0.4254 0.3247 0.4407
Sb: 0.7659 0.2514 0.7828

The following is a DFT calculation (PBE) of a relaxed GdHoSc4 crystal.

Output
energy of formation = 0.20 eV per atom
symmetry = F-43m (216)

Unit cell a=6.2538 b=6.2538 c=6.2538 alpha=60.00 beta=60.00 gamma=60.00
Each line ends with the local moment (μB).
Fractional positions:
Sc: 0.6250 0.6250 0.6250  0.52
Sc: 0.6250 0.1249 0.6250  0.52
Sc: 0.6250 0.6250 0.1249  0.52
Sc: 0.1249 0.6250 0.6250  0.52
Gd: 0.2500 0.2500 0.2500  7.59
Ho: 0.0000 0.0000 0.0000  0.64

The following is a DFT calculation (PBE) of a relaxed Re2SbMo crystal.

Output
symmetry = Cmmm (65)
ΔE_f (raw) = 63 kJ/mol of atoms

Unit cell a=2.8304 b=2.8304 c=9.4369 alpha=90.00 beta=90.00 gamma=112.46
Fractional positions:
Mo: 0.5000 0.5000 0.7500
Re: 0.0000 0.0000 0.5270
Re: 0.0000 0.0000 0.9730
Sb: 0.5000 0.5000 0.2500

| no. | V (Å³/atom) | total energy (eV/atom) |
| --- | --- | --- |
| 1 | 20.0 | -3.77 |
| 2 | 25.0 | -5.83 |
| 3 | 21.0 | -7.65 |
| 4 | 11.8 | -3.02 |
| 5 | 28.8 | -7.13 |
| 6 | 17.5 | -9.31 |